[1]
Material: Dy2SnBRh6
Method: DFT, PBE-GGA
State: relaxed

Lattice parameters (Å, degrees): 6.3584 6.3630 6.3601 60.00 60.02 90.01
Fractional positions:
Rh 0.2750 0.2750 0.4498
Rh 0.7249 0.2752 0.0000
Rh 0.2749 0.2753 0.0001
Rh 0.2751 0.7248 0.0000
Rh 0.7251 0.7247 0.9999
Rh 0.7250 0.7250 0.5502
Sn 0.0000 0.0000 0.0000
Dy 0.2499 0.7499 0.5002
Dy 0.7501 0.2501 0.4998
B 0.5000 0.5000 0.0000

Summary:
Formation energy from the elements   -0.44 eV per atom
Density   9.8 g/cm3
Total energy   -6.8351 eV per atom
Space-group type   No. 225

[2]
Material: Dy4SnB3Rh12
Method: DFT, PBE-GGA
State: relaxed

Lattice parameters (Å, degrees): 7.5468 7.5468 7.5468 109.47 109.47 109.47
Fractional positions:
Rh 0.2500 0.5000 0.7500
Rh 0.5000 0.2500 0.7500
Rh 0.5000 0.7500 0.2500
Rh 0.2789 0.2789 0.0000
Rh 0.7500 0.5000 0.2500
Rh 0.2500 0.7500 0.5000
Rh 0.0000 0.7211 0.7211
Rh 0.7500 0.2500 0.5000
Rh 0.7211 0.0000 0.7211
Rh 0.0000 0.2789 0.2789
Rh 0.7211 0.7211 0.0000
Rh 0.2789 0.0000 0.2789
Dy 0.0000 0.5000 0.0000
Dy 0.5000 0.0000 0.0000
Dy 0.0000 0.0000 0.5000
Dy 0.5000 0.5000 0.5000
Sn 0.0000 0.0000 0.0000
B 0.5000 0.5000 0.0000
B 0.5000 0.0000 0.5000
B 0.0000 0.5000 0.5000

Summary:
Formation energy from the elements   -0.58 eV per atom
Density   10.2 g/cm3
Total energy   -7.1132 eV per atom
Space-group type   No. 229

[3]
Material: Dy3B2TeRh9
Method: DFT, PBE-GGA
State: relaxed

Lattice parameters (Å, degrees): 5.8808 5.8808 8.7342 90.00 90.00 120.00
Fractional positions:
Dy 0.0000 0.0000 0.0000
Dy 0.6667 0.3333 0.2926
Dy 0.3333 0.6667 0.7074
Rh 0.1621 0.3243 0.2699
Rh 0.5000 0.0000 0.0000
Rh 0.8379 0.6757 0.7301
Rh 0.0000 0.5000 0.0000
Rh 0.5000 0.5000 0.0000
Rh 0.6757 0.8379 0.2699
Rh 0.3243 0.1621 0.7301
Rh 0.1621 0.8379 0.2699
Rh 0.8379 0.1621 0.7301
Te 0.0000 0.0000 0.5000
B 0.6667 0.3333 0.8534
B 0.3333 0.6667 0.1466

Summary:
Density   9.9 g/cm3
Total energy   -7.0628 eV per atom
Space-group type   No. 164

[4]
Material: Dy4B3TeRh12
Method: DFT, PBE-GGA
State: relaxed

Lattice parameters (Å, degrees): 7.5436 7.5436 7.5436 109.47 109.47 109.47
Fractional positions:
Dy 0.5000 0.5000 0.5000
Dy 0.0000 0.0000 0.5000
Dy 0.5000 0.0000 0.0000
Dy 0.0000 0.5000 0.0000
Rh 0.5000 0.7500 0.2500
Rh 0.2500 0.5000 0.7500
Rh 0.0000 0.2759 0.2759
Rh 0.7500 0.5000 0.2500
Rh 0.5000 0.2500 0.7500
Rh 0.2759 0.0000 0.2759
Rh 0.7500 0.2500 0.5000
Rh 0.7241 0.0000 0.7241
Rh 0.2759 0.2759 0.0000
Rh 0.7241 0.7241 0.0000
Rh 0.0000 0.7241 0.7241
Rh 0.2500 0.7500 0.5000
Te 0.0000 0.0000 0.0000
B 0.5000 0.5000 0.0000
B 0.0000 0.5000 0.5000
B 0.5000 0.0000 0.5000

Summary:
Density   10.3 g/cm3
Total energy   -7.0825 eV per atom
Space-group type   No. 229

[5]
Material: Dy2TlB2Rh5
Method: DFT, PBE-GGA
State: relaxed

Lattice parameters (Å, degrees): 3.2620 9.6815 9.6815 90.00 90.00 90.00
Fractional positions:
Dy 0.0000 0.6755 0.1755
Dy 0.0000 0.8245 0.6755
Dy 0.0000 0.1755 0.3245
Dy 0.0000 0.3245 0.8245
Tl 0.0000 0.5000 0.5000
Tl 0.0000 0.0000 0.0000
Rh 0.5000 0.7715 0.9291
Rh 0.5000 0.2285 0.0709
Rh 0.5000 0.5709 0.7285
Rh 0.5000 0.4291 0.2715
Rh 0.5000 0.9291 0.2285
Rh 0.5000 0.2715 0.5709
Rh 0.5000 0.7285 0.4291
Rh 0.5000 0.5000 0.0000
Rh 0.5000 0.0000 0.5000
Rh 0.5000 0.0709 0.7715
B 0.0000 0.6211 0.8789
B 0.0000 0.1211 0.6211
B 0.0000 0.3789 0.1211
B 0.0000 0.8789 0.3789

Summary:
Formation energy from the elements   -0.70 eV per atom
Density   11.6 g/cm3
Total energy   -6.8682 eV per atom
Space-group type   No. 127

[6]
Material: Dy4TlB3Rh12
Method: DFT, PBE-GGA
State: relaxed

Lattice parameters (Å, degrees): 7.5875 7.5875 7.5875 109.47 109.47 109.47
Fractional positions:
Rh 0.7500 0.5000 0.2500
Rh 0.7500 0.2500 0.5000
Rh 0.2831 0.2831 0.0000
Rh 0.5000 0.2500 0.7500
Rh 0.7169 0.7169 0.0000
Rh 0.0000 0.2831 0.2831
Rh 0.7169 0.0000 0.7169
Rh 0.2831 0.0000 0.2831
Rh 0.5000 0.7500 0.2500
Rh 0.2500 0.7500 0.5000
Rh 0.2500 0.5000 0.7500
Rh 0.0000 0.7169 0.7169
Dy 0.5000 0.5000 0.5000
Dy 0.5000 0.0000 0.0000
Dy 0.0000 0.5000 0.0000
Dy 0.0000 0.0000 0.5000
B 0.0000 0.5000 0.5000
B 0.5000 0.5000 0.0000
B 0.5000 0.0000 0.5000
Tl 0.0000 0.0000 0.0000

Summary:
Formation energy from the elements   -0.46 eV per atom
Density   10.5 g/cm3
Total energy   -6.9159 eV per atom
Space-group type   No. 229